# 1
This record from Alexandria via LeMat-Bulk describes a geometry-optimized ZrTlBi3 structure. The functional is GGA-PBEsol.

Cell and atoms, written as CIF:
```
data_ZrTlBi3
_chemical_formula_sum 'Zr1 Tl1 Bi3'
_space_group_name_H-M_alt 'P m -3 m'
_space_group_IT_number 221
_space_group_name_Hall '-P 4 2 3'
_cell_length_a 5.6063
_cell_length_b 5.6063
_cell_length_c 5.6063
_cell_angle_alpha 90.00
_cell_angle_beta 90.00
_cell_angle_gamma 90.00
loop_
_atom_site_label
_atom_site_type_symbol
_atom_site_fract_x
_atom_site_fract_y
_atom_site_fract_z
Zr1 Zr 0.0000 0.0000 0.0000
Tl1 Tl 0.5000 0.5000 0.5000
Bi1 Bi 0.0000 0.5000 0.5000
```

# 2
This record from Alexandria via LeMat-Bulk describes a geometry-optimized ZrTlBi2 structure. The functional is GGA-PBEsol.

Cell and atoms, written as CIF:
```
data_ZrTlBi2
_chemical_formula_sum 'Zr4 Tl4 Bi8'
_space_group_name_H-M_alt 'I -4 2 d'
_space_group_IT_number 122
_space_group_name_Hall 'I -4 2bw'
_cell_length_a 6.8193
_cell_length_b 6.8193
_cell_length_c 13.6642
_cell_angle_alpha 90.00
_cell_angle_beta 90.00
_cell_angle_gamma 90.00
loop_
_atom_site_label
_atom_site_type_symbol
_atom_site_fract_x
_atom_site_fract_y
_atom_site_fract_z
Zr1 Zr 0.0000 0.0000 0.0000
Tl1 Tl 0.0000 0.0000 0.5000
Bi1 Bi 0.2210 0.2500 0.1250
```

# 3
This record from Alexandria via LeMat-Bulk describes a geometry-optimized ZrTl2Bi2 structure. The functional is GGA-PBEsol.

Cell and atoms, written as CIF:
```
data_ZrTl2Bi2
_chemical_formula_sum 'Zr2 Tl4 Bi4'
_space_group_name_H-M_alt 'I 4/m m m'
_space_group_IT_number 139
_space_group_name_Hall '-I 4 2'
_cell_length_a 4.3010
_cell_length_b 4.3010
_cell_length_c 15.9050
_cell_angle_alpha 90.00
_cell_angle_beta 90.00
_cell_angle_gamma 90.00
loop_
_atom_site_label
_atom_site_type_symbol
_atom_site_fract_x
_atom_site_fract_y
_atom_site_fract_z
Zr1 Zr 0.0000 0.0000 0.0000
Tl1 Tl 0.0000 0.0000 0.4109
Bi1 Bi 0.0000 0.5000 0.2500
```

# 4
This record from Alexandria via LeMat-Bulk describes a geometry-optimized YBiW3 structure. The functional is GGA-PBEsol.

Cell and atoms, written as CIF:
```
data_YBiW3
_chemical_formula_sum 'Y1 Bi1 W3'
_space_group_name_H-M_alt 'P m -3 m'
_space_group_IT_number 221
_space_group_name_Hall '-P 4 2 3'
_cell_length_a 4.9925
_cell_length_b 4.9925
_cell_length_c 4.9925
_cell_angle_alpha 90.00
_cell_angle_beta 90.00
_cell_angle_gamma 90.00
loop_
_atom_site_label
_atom_site_type_symbol
_atom_site_fract_x
_atom_site_fract_y
_atom_site_fract_z
Y1 Y 0.0000 0.0000 0.0000
Bi1 Bi 0.5000 0.5000 0.5000
W1 W 0.0000 0.5000 0.5000
```

# 5
This record from Alexandria via LeMat-Bulk describes a geometry-optimized ZnBi3W structure. The functional is GGA-PBEsol.

Cell and atoms, written as CIF:
```
data_ZnBi3W
_chemical_formula_sum 'Zn1 Bi3 W1'
_space_group_name_H-M_alt 'P m -3 m'
_space_group_IT_number 221
_space_group_name_Hall '-P 4 2 3'
_cell_length_a 5.1890
_cell_length_b 5.1890
_cell_length_c 5.1890
_cell_angle_alpha 90.00
_cell_angle_beta 90.00
_cell_angle_gamma 90.00
loop_
_atom_site_label
_atom_site_type_symbol
_atom_site_fract_x
_atom_site_fract_y
_atom_site_fract_z
Zn1 Zn 0.0000 0.0000 0.0000
Bi1 Bi 0.0000 0.0000 0.5000
W1 W 0.5000 0.5000 0.5000
```

# 6
This record from Alexandria via LeMat-Bulk describes a geometry-optimized Zn2BiW2 structure. The functional is GGA-PBEsol.

Cell and atoms, written as CIF:
```
data_Zn2BiW2
_chemical_formula_sum 'Zn4 Bi2 W4'
_space_group_name_H-M_alt 'I 4/m m m'
_space_group_IT_number 139
_space_group_name_Hall '-I 4 2'
_cell_length_a 3.7601
_cell_length_b 3.7601
_cell_length_c 12.7877
_cell_angle_alpha 90.00
_cell_angle_beta 90.00
_cell_angle_gamma 90.00
loop_
_atom_site_label
_atom_site_type_symbol
_atom_site_fract_x
_atom_site_fract_y
_atom_site_fract_z
Zn1 Zn 0.0000 0.0000 0.0996
Bi1 Bi 0.0000 0.0000 0.5000
W1 W 0.0000 0.5000 0.2500
```

no.,formation energy (eV per atom)
1,1.1100
2,0.3287
3,0.4750
4,2.4958
5,1.5080
6,0.6553